# SrScCr2Hg

SrScCr2Hg after structural relaxation (PBE, Alexandria).

Calculated density (g cm⁻³): 5.1
E_form (eV/atom): 1.23
Calculated volume (Å³/atom): 28.299
M_tot (Bohr magnetons per cell): 6.57
Symmetry: No. 123

Lattice parameters (Å, degrees): 4.885 5.930 4.885 90.00 90.00 90.00
Each line ends with the local moment (μB).
Element x y z (fractional)
Sr 0.000 0.500 0.000  -0.09
Sc 0.000 0.000 0.000  -0.32
Cr 0.500 0.000 0.000  3.58
Hg 0.500 0.500 0.500  0.01
Cr 0.000 0.000 0.500  2.98

# Ti3CuRh

Ti3CuRh after structural relaxation (PBE, Alexandria).

Calculated density (g cm⁻³): 6.6
E_form (eV/atom): -0.25
Calculated volume (Å³/atom): 15.712
ΔE to the lowest computed polymorph (kcal/mol of atoms): 0.00
M_tot (Bohr magnetons per cell): 0.00
Symmetry: No. 15

Lattice parameters (Å, degrees): 6.478 7.157 7.157 97.63 78.78 78.78
Element x y z (fractional)
Ti 0.873 0.372 0.011
Ti 0.373 0.011 0.372
Cu 0.083 0.795 0.420
Cu 0.417 0.580 0.205
Ti 0.863 0.013 0.246
Rh 0.750 0.683 0.317
Ti 0.576 0.331 0.403
Cu 0.583 0.420 0.795
Ti 0.637 0.754 0.987
Rh 0.250 0.317 0.683
Ti 0.137 0.987 0.754
Rh 0.250 0.937 0.063
Ti 0.127 0.628 0.989
Ti 0.627 0.989 0.628
Ti 0.424 0.669 0.597
Cu 0.917 0.205 0.580
Rh 0.750 0.063 0.937
Ti 0.076 0.403 0.331
Ti 0.924 0.597 0.669
Ti 0.363 0.246 0.013

# AcAlS2O8

AcAlS2O8 after structural relaxation (PBE, Alexandria).

ΔE_f (raw) (kJ/mol of formula units): -2032
Calculated density (g cm⁻³): 4.4
Calculated volume (Å³/atom): 13.953
M_tot (Bohr magnetons per cell): 1.87
Symmetry: No. 164

Lattice parameters (Å, degrees): 5.291 5.291 6.906 90.00 90.00 120.00
Each line ends with the local moment (μB).
Element x y z (fractional)
O 0.157 0.843 0.818  0.14
O 0.313 0.157 0.182  0.14
O 0.843 0.157 0.182  0.14
S 0.333 0.667 0.795  0.23
Ac 0.000 0.000 0.500  0.07
O 0.157 0.313 0.818  0.14
Al 0.000 0.000 0.000  0.00
O 0.687 0.843 0.818  0.14
O 0.333 0.667 0.573  -0.01
O 0.667 0.333 0.427  -0.01
S 0.667 0.333 0.205  0.23
O 0.843 0.687 0.182  0.14

# ReAsPO2

ReAsPO2 after structural relaxation (PBE, Alexandria).

ΔE_f (raw) (kJ/mol of formula units): 192
Calculated density (g cm⁻³): 7.5
Calculated volume (Å³/atom): 14.385
ΔE to the lowest computed polymorph (kcal/mol of atoms): 21.03
M_tot (Bohr magnetons per cell): 3.76
Symmetry: No. 123

Lattice parameters (Å, degrees): 3.674 3.674 5.328 90.00 90.00 90.00
Each line ends with the local moment (μB).
Element x y z (fractional)
O 0.000 0.500 0.000  0.08
As 0.000 0.000 0.000  0.04
Re 0.500 0.500 0.500  3.03
O 0.500 0.000 0.000  0.08
P 0.000 0.000 0.500  -0.04